# 1
Below is LaNi3Hg after structural relaxation, with properties calculated at the PBE level.

Results
Mass density, g cm⁻³: 7.90
E above lowest polymorph, meV/atom: 0.0
Energy, eV per atom: -4.01
Formation enthalpy at 0 K, eV/atom: 0.501

The structure in POSCAR format:
```
LaNi3Hg
1.0
4.768 0.000 0.000
0.000 4.768 0.000
0.000 0.000 4.768
La Ni Hg
1 3 1
Direct
0.000 0.000 0.000 La
0.000 0.500 0.500 Ni
0.500 0.000 0.500 Ni
0.500 0.500 0.000 Ni
0.500 0.500 0.500 Hg
```



# 2
Below is Ba2Os after structural relaxation, with properties calculated at the PBE level.

Results
Mass density, g cm⁻³: 5.62
E above lowest polymorph, meV/atom: 0.0
Energy, eV per atom: -4.80
Formation enthalpy at 0 K, eV/atom: 0.221

The structure in POSCAR format:
```
Ba2Os
1.0
8.643 -2.186 0.000
8.643 2.186 0.000
-1.358 0.000 7.274
Ba Os
4 2
Direct
0.092 0.092 0.289 Ba
0.337 0.337 0.199 Ba
0.663 0.663 0.801 Ba
0.908 0.908 0.711 Ba
0.250 0.250 0.568 Os
0.750 0.750 0.432 Os
```



# 3
Below is Zr2AlAu after structural relaxation, with properties calculated at the PBE level.

Results
Mass density, g cm⁻³: 8.63
Energy, eV per atom: -6.53
Formation enthalpy at 0 K, eV/atom: -0.499

The structure in POSCAR format:
```
Zr2AlAu
1.0
3.096 0.000 0.000
0.000 3.096 0.000
0.000 0.000 8.157
Zr Al Au
2 1 1
Direct
0.000 0.000 0.247 Zr
0.000 0.000 0.753 Zr
0.500 0.500 0.000 Al
0.500 0.500 0.500 Au
```